Below is crystalline Ca5Ta4O15 at its relaxed geometry, with properties calculated at the PBE level.

a b c (Å): 5.5302 5.5302 23.5250
angles (deg): 90.00 90.00 120.00
Closest atoms and distances in Å follow each position.
Element x y z (fractional)
Ca1 0.0000 0.0000 0.0000  12 O 2.75-2.77
Ca2 0.0000 0.0000 0.5000  12 O 2.75-2.77
Ca3 0.3333 0.6667 0.2317  6 O 2.41-2.44
Ca4 0.3333 0.6667 0.3822  6 O 2.43-2.46
Ca5 0.3333 0.6667 0.7317  6 O 2.41-2.44
Ca6 0.3333 0.6667 0.8822  6 O 2.43-2.46
Ca7 0.6667 0.3333 0.1178  6 O 2.43-2.46
Ca8 0.6667 0.3333 0.2683  6 O 2.41-2.44
Ca9 0.6667 0.3333 0.6178  6 O 2.43-2.46
Ca10 0.6667 0.3333 0.7683  6 O 2.41-2.44
Ta1 0.0000 0.0000 0.1565  3 O 1.90
Ta2 0.0000 0.0000 0.3435  3 O 1.90
Ta3 0.0000 0.0000 0.6565  3 O 1.90
Ta4 0.0000 0.0000 0.8435  3 O 1.90
Ta5 0.3333 0.6667 0.0523  6 O 1.97-2.02
Ta6 0.3333 0.6667 0.5523  6 O 1.97-2.02
Ta7 0.6667 0.3333 0.4477  6 O 1.97-2.02
Ta8 0.6667 0.3333 0.9477  6 O 1.97-2.02
O1 0.0000 0.5000 0.0000  2 Ta 2.02
O2 0.0000 0.5000 0.5000  2 Ta 2.02
O3 0.0709 0.3370 0.3072  1 Ta 1.90
O4 0.0709 0.7339 0.8072  1 Ta 1.90
O5 0.0966 0.3227 0.5955  2 Ta 1.97-2.14
O6 0.0966 0.7740 0.0955  2 Ta 1.97-2.14
O7 0.2260 0.3227 0.0955  2 Ta 1.97-2.14
O8 0.2260 0.9034 0.5955  2 Ta 1.97-2.14
O9 0.2661 0.3370 0.8072  1 Ta 1.90
O10 0.2661 0.9291 0.3072  1 Ta 1.90
O11 0.3227 0.0966 0.9045  2 Ta 1.97-2.14
O12 0.3227 0.2260 0.4045  2 Ta 1.97-2.14
O13 0.3370 0.0709 0.1928  1 Ta 1.90
O14 0.3370 0.2661 0.6928  1 Ta 1.90
O15 0.5000 0.0000 0.0000  2 Ta 2.02
O16 0.5000 0.0000 0.5000  2 Ta 2.02
O17 0.5000 0.5000 0.0000  2 Ta 2.02
O18 0.5000 0.5000 0.5000  2 Ta 2.02
O19 0.6630 0.7339 0.3072  1 Ta 1.90
O20 0.6630 0.9291 0.8072  1 Ta 1.90
O21 0.6773 0.7740 0.5955  2 Ta 1.97-2.14
O22 0.6773 0.9034 0.0955  2 Ta 1.97-2.14
O23 0.7339 0.0709 0.6928  1 Ta 1.90
O24 0.7339 0.6630 0.1928  1 Ta 1.90
O25 0.7740 0.0966 0.4045  2 Ta 1.97-2.14
O26 0.7740 0.6773 0.9045  2 Ta 1.97-2.14
O27 0.9034 0.2260 0.9045  2 Ta 1.97-2.14
O28 0.9034 0.6773 0.4045  2 Ta 1.97-2.14
O29 0.9291 0.2661 0.1928  1 Ta 1.90
O30 0.9291 0.6630 0.6928  1 Ta 1.90

The energy relative to the elements, uncorrected is -72.0 eV per formula unit. For the density of states at the Fermi level, the calculation gives 0.0 states/eV/cell. Its electronic total energy is -407.66 eV for the cell shown.

=====

Below is crystalline HfB2SbAs at its relaxed geometry, with properties calculated at the PBE level.

a b c (Å): 4.2865 4.2865 5.4138
angles (deg): 90.00 90.00 90.00
Closest atoms and distances in Å follow each position.
Element x y z (fractional)
Hf1 0.0000 0.0000 0.0000  4 As 3.03
B1 0.0000 0.5000 0.5000  2 Sb 2.14
B2 0.5000 0.0000 0.5000  2 Sb 2.14
Sb1 0.5000 0.5000 0.5000  4 B 2.14
As1 0.5000 0.5000 0.0000  2 Sb 2.71, 4 Hf 3.03

The energy relative to the elements, uncorrected is 7.8 eV per formula unit. For the density of states at the Fermi level, the calculation gives 3.4 states/eV/cell. Its electronic total energy is -24.26 eV for the cell shown.

=====

Below is crystalline Cd3SnSb at its relaxed geometry, with properties calculated at the PBE level.

a b c (Å): 5.5584 5.5584 5.5584
angles (deg): 90.00 90.00 90.00
Closest atoms and distances in Å follow each position.
Element x y z (fractional)
Cd1 0.0000 0.0000 0.5000  2 Sb 2.78
Cd2 0.0000 0.5000 0.0000  2 Sb 2.78
Cd3 0.5000 0.0000 0.0000  2 Sb 2.78
Sn1 0.5000 0.5000 0.5000  12 Cd 3.93
Sb1 0.0000 0.0000 0.0000  6 Cd 2.78

The energy relative to the elements, uncorrected is 2.4 eV per formula unit. For the density of states at the Fermi level, the calculation gives 4.8 states/eV/cell. Its electronic total energy is -8.43 eV for the cell shown.

=====

Below is crystalline MnMoRh2 at its relaxed geometry, with properties calculated at the PBE level.

a b c (Å): 8.9330 8.9330 8.9330
angles (deg): 17.56 17.56 17.56
Closest atoms and distances in Å follow each position.
Element x y z (fractional)
Mn1 0.0000 0.0000 0.0000  3 Rh 2.55, 6 Mn 2.73, 3 Mo 2.76
Mo1 0.2472 0.2472 0.2472  3 Rh 2.68, 6 Mo 2.73, 3 Mn 2.76
Rh1 0.4981 0.4981 0.4981  3 Mo 2.68, 9 Rh 2.73-2.82
Rh2 0.7428 0.7428 0.7428  3 Mn 2.55, 9 Rh 2.73-2.82

The calculated formation energy comes out at 1.36 kcal/mol of atoms. For the density of states at the Fermi level, the calculation gives 5.9 states/eV/cell. Its electronic total energy is -34.47 eV for the cell shown.

=====

Below is crystalline NpAu6 at its relaxed geometry, with properties calculated at the PBE level.

a b c (Å): 9.1854 5.6017 11.1267
angles (deg): 90.00 90.00 90.00
Closest atoms and distances in Å follow each position.
Element x y z (fractional)
Np1 0.2392 0.2500 0.0660  11 Au 3.14-3.51
Np2 0.2608 0.7500 0.5660  11 Au 3.14-3.51
Np3 0.7392 0.2500 0.4340  11 Au 3.14-3.51
Np4 0.7608 0.7500 0.9340  11 Au 3.14-3.51
Au1 0.0543 0.0069 0.3049  9 Au 2.72-2.99
Au2 0.0543 0.4931 0.3049  9 Au 2.72-2.99
Au3 0.0624 0.7500 0.0759  5 Au 2.75-3.02
Au4 0.1150 0.2500 0.5214  7 Au 2.82-3.02, 2 Np 3.14
Au5 0.1598 0.7500 0.8419  8 Au 2.75-2.99
Au6 0.1905 0.2500 0.7752  8 Au 2.77-2.91
Au7 0.3095 0.7500 0.2752  8 Au 2.77-2.91
Au8 0.3402 0.2500 0.3419  8 Au 2.75-2.99
Au9 0.3850 0.7500 0.0214  7 Au 2.82-3.02, 2 Np 3.14
Au10 0.4376 0.2500 0.5759  5 Au 2.75-3.02
Au11 0.4457 0.5069 0.8049  9 Au 2.72-2.99
Au12 0.4457 0.9931 0.8049  9 Au 2.72-2.99
Au13 0.5543 0.0069 0.1951  9 Au 2.72-2.99
Au14 0.5543 0.4931 0.1951  9 Au 2.72-2.99
Au15 0.5624 0.7500 0.4241  5 Au 2.75-3.02
Au16 0.6150 0.2500 0.9786  7 Au 2.82-3.02, 2 Np 3.14
Au17 0.6598 0.7500 0.6581  8 Au 2.75-2.99
Au18 0.6905 0.2500 0.7248  8 Au 2.77-2.91
Au19 0.8095 0.7500 0.2248  8 Au 2.77-2.91
Au20 0.8402 0.2500 0.1581  8 Au 2.75-2.99
Au21 0.8850 0.7500 0.4786  7 Au 2.82-3.02, 2 Np 3.14
Au22 0.9376 0.2500 0.9241  5 Au 2.75-3.02
Au23 0.9457 0.5069 0.6951  9 Au 2.72-2.99
Au24 0.9457 0.9931 0.6951  9 Au 2.72-2.99

The calculated formation energy comes out at -1.83 kcal/mol of atoms. For the density of states at the Fermi level, the calculation gives 45.1 states/eV/cell. Its electronic total energy is -132.64 eV for the cell shown.

=====

Below is crystalline Dy12ScAl3 at its relaxed geometry, with properties calculated at the PBE level.

a b c (Å): 4.7769 4.7769 19.3447
angles (deg): 90.00 90.00 90.00
Closest atoms and distances in Å follow each position.
Element x y z (fractional)
Dy1 0.0000 0.0000 0.0000  8 Dy 3.37, 4 Al 3.38
Dy2 0.0000 0.0000 0.2460  8 Dy 3.37-3.38, 4 Al 3.38
Dy3 0.0000 0.0000 0.5000  4 Sc 3.38, 8 Dy 3.47
Dy4 0.0000 0.0000 0.7540  8 Dy 3.37-3.38, 4 Al 3.38
Dy5 0.0000 0.5000 0.1232  4 Al 3.35-3.37, 8 Dy 3.37-3.38
Dy6 0.0000 0.5000 0.3697  8 Dy 3.38-3.47, 2 Al 3.41, 2 Sc 3.47
Dy7 0.0000 0.5000 0.6303  8 Dy 3.38-3.47, 2 Al 3.41, 2 Sc 3.47
Dy8 0.0000 0.5000 0.8768  4 Al 3.35-3.37, 8 Dy 3.37-3.38
Dy9 0.5000 0.0000 0.1232  4 Al 3.35-3.37, 8 Dy 3.37-3.38
Dy10 0.5000 0.0000 0.3697  8 Dy 3.38-3.47, 2 Al 3.41, 2 Sc 3.47
Dy11 0.5000 0.0000 0.6303  8 Dy 3.38-3.47, 2 Al 3.41, 2 Sc 3.47
Dy12 0.5000 0.0000 0.8768  4 Al 3.35-3.37, 8 Dy 3.37-3.38
Sc1 0.5000 0.5000 0.5000  12 Dy 3.38-3.47
Al1 0.5000 0.5000 0.0000  12 Dy 3.37-3.38
Al2 0.5000 0.5000 0.2443  12 Dy 3.35-3.41
Al3 0.5000 0.5000 0.7557  12 Dy 3.35-3.41

The calculated formation energy comes out at -2.96 kcal/mol of atoms. For the density of states at the Fermi level, the calculation gives 19.3 states/eV/cell. Its electronic total energy is -74.84 eV for the cell shown.

=====

Below is crystalline Pr6Ho2Er3Tm at its relaxed geometry, with properties calculated at the PBE level.

a b c (Å): 6.2793 6.2793 11.8133
angles (deg): 95.07 95.07 119.99
Closest atoms and distances in Å follow each position.
Element x y z (fractional)
Pr1 0.0834 0.4165 0.7499  3 Er 3.58, 2 Ho 3.58, 1 Tm 3.58, 6 Pr 3.62-3.63
Pr2 0.2504 0.2504 0.2503  3 Er 3.58, 1 Tm 3.58, 2 Ho 3.59, 6 Pr 3.62-3.63
Pr3 0.4165 0.0834 0.7499  3 Er 3.58, 2 Ho 3.58, 1 Tm 3.58, 6 Pr 3.62-3.63
Pr4 0.5835 0.9166 0.2501  3 Er 3.58, 2 Ho 3.58, 1 Tm 3.58, 6 Pr 3.62-3.63
Pr5 0.7496 0.7496 0.7497  3 Er 3.58, 1 Tm 3.58, 2 Ho 3.59, 6 Pr 3.62-3.63
Pr6 0.9166 0.5835 0.2501  3 Er 3.58, 2 Ho 3.58, 1 Tm 3.58, 6 Pr 3.62-3.63
Ho1 0.1666 0.8334 0.0000  6 Pr 3.58-3.59, 3 Ho 3.62-3.63, 3 Tm 3.63
Ho2 0.8334 0.1666 0.0000  6 Pr 3.58-3.59, 3 Ho 3.62-3.63, 3 Tm 3.63
Er1 0.0000 0.0000 0.5000  6 Pr 3.58, 6 Er 3.63
Er2 0.3334 0.6666 0.5000  6 Pr 3.58, 6 Er 3.62-3.63
Er3 0.6666 0.3334 0.5000  6 Pr 3.58, 6 Er 3.62-3.63
Tm1 0.5000 0.5000 0.0000  6 Pr 3.58, 6 Ho 3.63

The calculated formation energy comes out at 0.32 kcal/mol of atoms. For the density of states at the Fermi level, the calculation gives 12.3 states/eV/cell. Its electronic total energy is -55.83 eV for the cell shown.

=====

Below is crystalline Y2Te4Pb at its relaxed geometry, with properties calculated at the PBE level.

a b c (Å): 8.7285 8.7285 7.6600
angles (deg): 114.25 114.25 29.40
Closest atoms and distances in Å follow each position.
Element x y z (fractional)
Y1 0.2396 0.2396 0.2236  6 Te 3.04-3.17
Y2 0.7604 0.7604 0.7764  6 Te 3.04-3.17
Te1 0.1415 0.1415 0.4869  3 Y 3.11-3.17, 2 Pb 3.29
Te2 0.3717 0.3717 0.0389  3 Y 3.04-3.11, 1 Pb 3.27
Te3 0.6283 0.6283 0.9611  3 Y 3.04-3.11, 1 Pb 3.27
Te4 0.8585 0.8585 0.5131  3 Y 3.11-3.17, 2 Pb 3.29
Pb1 0.5000 0.5000 0.5000  6 Te 3.27-3.29

The energy relative to the elements, uncorrected is -7.8 eV per formula unit. Its electronic total energy is -37.01 eV for the cell shown.